# 1
Material: Ac2UB2N6
Method: DFT, PBE
State: relaxed

POSCAR file:
```
Ac2UB2N6
1.0
5.5086 0.0000 0.0000
2.7543 4.7706 0.0000
2.7543 1.5902 5.6295
N B Ac U
6 2 2 1
Cartesian
4.2341 2.4445 4.2748 N
6.7831 3.9162 1.3547 N
4.2341 3.9162 1.3547 N
5.5086 1.7087 1.3547 N
6.7831 2.4445 4.2748 N
5.5086 4.6520 4.2748 N
5.5086 3.1804 4.2466 B
5.5086 3.1804 1.3829 B
8.2628 4.7706 3.7504 Ac
2.7543 1.5902 1.8792 Ac
0.0000 0.0000 0.0000 U
```

For the total energy, the calculation gives -8.779 eV/atom. As for the space group: No. 166. For the formation energy without anion corrections, the calculation gives -1.2510 eV/atom.

# 2
Material: Ac2VB2N6
Method: DFT, PBE
State: relaxed

POSCAR file:
```
Ac2VB2N6
1.0
-1.5433 0.3986 -5.0738
3.5638 -0.5254 -3.9125
-0.2373 -5.2423 -3.1269
N Ac B V
6 2 2 1
Cartesian
2.1980 -1.4670 -5.0302 N
-0.2356 -1.0267 -5.5836 N
2.0188 -4.3423 -6.5297 N
0.3206 -4.0920 -4.6654 N
-0.4148 -3.9021 -7.0831 N
1.4626 -1.2771 -7.4479 N
0.3870 -1.6777 -3.0368 Ac
1.3962 -3.6914 -9.0765 Ac
1.1336 -1.3029 -6.0217 B
0.6496 -4.0662 -6.0915 B
0.0000 0.0000 0.0000 V
```

For the total energy, the calculation gives -8.279 eV/atom. As for the space group: No. 166. For the formation energy without anion corrections, the calculation gives -0.9475 eV/atom.

# 3
Material: Ac3VB2N6
Method: DFT, PBE
State: relaxed

POSCAR file:
```
Ac3VB2N6
1.0
5.5338 0.0000 0.0000
-2.7669 4.7924 0.0000
0.0000 0.0000 6.5165
N Ac V B
6 3 1 2
Cartesian
-1.2771 3.9323 1.9554 N
1.4898 0.8601 4.5611 N
2.7669 3.0722 4.5611 N
0.0000 1.7202 1.9554 N
4.0441 0.8601 4.5611 N
1.2771 3.9323 1.9554 N
2.7669 1.5975 2.1020 Ac
0.0000 0.0000 0.0000 Ac
0.0000 3.1949 4.4145 Ac
0.0000 0.0000 3.2582 V
2.7669 1.5975 4.7126 B
0.0000 3.1949 1.8039 B
```

For the total energy, the calculation gives -8.090 eV/atom. As for the space group: No. 164. For the formation energy without anion corrections, the calculation gives -1.0274 eV/atom.

# 4
Material: AcYBN3
Method: DFT, PBE
State: relaxed

POSCAR file:
```
AcYBN3
1.0
-2.5803 -3.8569 -3.2953
4.9042 2.3513 -1.6772
3.0972 -4.4634 2.7989
B N Ac Y
2 6 2 2
Cartesian
3.1836 -0.8339 -1.5168 B
2.2374 -5.1350 -0.6567 B
2.1029 -0.9604 -0.5226 N
1.1183 -6.0633 -0.8987 N
2.2757 -4.3332 0.5795 N
4.3027 0.0943 -1.2749 N
3.1453 -1.6357 -2.7530 N
3.3181 -5.0086 -1.6510 N
4.7322 -3.0656 -0.1174 Ac
0.6888 -2.9033 -2.0562 Ac
0.0000 0.0000 0.0000 Y
1.5486 -2.2317 1.3994 Y
```

For the total energy, the calculation gives -8.341 eV/atom. As for the space group: No. 194. For the formation energy without anion corrections, the calculation gives -1.3036 eV/atom.

# 5
Material: Ac3YB2N6
Method: DFT, PBE
State: relaxed

POSCAR file:
```
Ac3YB2N6
1.0
5.7528 0.0000 0.0000
-2.8764 4.9821 0.0000
0.0000 0.0000 6.6606
N Y Ac B
6 1 3 2
Cartesian
1.2735 4.0566 1.8719 N
4.1499 0.9255 4.7887 N
2.8764 3.1312 4.7887 N
0.0000 1.8509 1.8719 N
-1.2735 4.0566 1.8719 N
1.6029 0.9255 4.7887 N
0.0000 0.0000 3.3303 Y
2.8764 1.6607 2.1703 Ac
0.0000 0.0000 0.0000 Ac
0.0000 3.3214 4.4903 Ac
0.0000 3.3214 1.7374 B
2.8764 1.6607 4.9231 B
```

For the total energy, the calculation gives -8.038 eV/atom. As for the space group: No. 164. For the formation energy without anion corrections, the calculation gives -1.1966 eV/atom.

# 6
Material: Ac3ZnB2N6
Method: DFT, PBE
State: relaxed

POSCAR file:
```
Ac3ZnB2N6
1.0
-5.3733 1.6304 -0.2832
1.3628 -5.3696 -0.9600
-0.7359 -1.3221 6.3505
N Ac B Zn
6 3 2 1
Cartesian
-4.0525 -3.0174 3.7081 N
-4.6664 -0.5986 4.1405 N
-2.5005 -3.7282 0.8393 N
-2.2459 -1.3331 4.2681 N
-0.6939 -2.0439 1.3993 N
-0.0800 -4.4626 0.9668 N
-3.3711 -1.1397 1.5894 Ac
-1.3753 -3.9215 3.5179 Ac
0.0000 0.0000 0.0000 Ac
-1.0765 -3.3847 0.9394 B
-3.6699 -1.6765 4.1679 B
-0.3680 -0.6611 3.1753 Zn
```

For the total energy, the calculation gives -7.218 eV/atom. As for the space group: No. 164. For the formation energy without anion corrections, the calculation gives -0.8088 eV/atom.

# 7
Material: Na2AcB2O6
Method: DFT, PBE
State: relaxed

POSCAR file:
```
Na2AcB2O6
1.0
-1.5406 -0.0541 -5.2425
4.9471 -1.8412 1.4131
-2.4651 -6.0197 0.7865
Na B O Ac
2 2 6 1
Cartesian
1.8831 -3.4466 -0.5178 Na
-0.9418 -4.4683 -2.5251 Na
0.0740 -1.9880 -2.8491 B
0.8674 -5.9270 -0.1938 B
-1.1757 -1.5659 -3.2533 O
0.5394 -5.9309 -1.5338 O
0.4020 -1.9841 -1.5091 O
0.9574 -2.5073 -3.7728 O
-0.0160 -5.4077 0.7299 O
2.1171 -6.3491 0.2104 O
0.0000 0.0000 0.0000 Ac
```

For the total energy, the calculation gives -6.885 eV/atom. As for the space group: No. 147. For the formation energy without anion corrections, the calculation gives -2.3535 eV/atom.

# 8
Material: NaAc3B4O12
Method: DFT, PBE
State: relaxed

POSCAR file:
```
NaAc3B4O12
1.0
-4.7645 -4.5929 2.2903
1.2124 -2.4497 -6.4475
5.7208 -2.2334 3.3654
O Ac Na B
12 3 1 4
Cartesian
5.3721 -3.8960 1.2157 O
-0.2630 -4.9412 -0.5341 O
0.2821 -4.5583 -4.9658 O
-0.4748 -5.2491 3.9318 O
3.4376 -3.7942 -3.8362 O
2.8594 -4.5528 3.4677 O
-1.8576 -4.8974 -3.9753 O
-3.0440 -5.5670 -0.8192 O
1.8523 -4.3626 -1.5187 O
-2.3202 -5.8068 2.5327 O
1.6636 -4.6102 0.8650 O
5.5041 -3.4205 -1.1147 O
-1.9143 -3.5709 -1.8766 Ac
0.7205 -3.3586 2.8527 Ac
3.3623 -2.3465 -1.7679 Ac
0.0000 0.0000 0.0000 Na
-1.0726 -4.7415 -5.0906 B
1.0843 -4.6380 -0.3959 B
-1.7752 -5.6634 3.7844 B
6.1007 -3.5091 0.1184 B
```

For the total energy, the calculation gives -7.634 eV/atom. As for the space group: No. 155. For the formation energy without anion corrections, the calculation gives -2.6411 eV/atom.

> What is the formula in the sixth record?

Ac3ZnB2N6

> What is the formation energy without anion corrections in the fourth record?

-1.3036 eV/atom